Li3FeHg GGA-PBE relaxed; volume = 21.869 A^3/atom; E_form = 13.8 kcal/mol of atoms; DFT total energy = -11.514 eV/cell; total magnetic moment = 2.51 μB per formula unit; DOS(E_F) = 5.54 states/eV/f.u.
1.0
4.782 0.000 0.000
0.000 4.782 0.000
0.000 0.000 4.782
Li Fe Hg
3 1 1
direct
0.000 0.000 0.500
0.000 0.500 0.000
0.500 0.000 0.000
0.000 0.000 0.000
0.500 0.500 0.500

Li2FeHg2 GGA-PBE relaxed; volume = 17.554 A^3/atom; E_form = 2.2 kcal/mol of atoms; DFT total energy = -24.852 eV/cell; total magnetic moment = 2.92 μB per formula unit; DOS(E_F) = 5.06 states/eV/f.u.
1.0
7.470 0.000 0.000
0.000 7.470 0.000
0.000 0.000 3.145
Li Fe Hg
4 2 4
direct
0.149 0.351 0.000
0.351 0.851 0.000
0.649 0.149 0.000
0.851 0.649 0.000
0.000 0.000 0.500
0.500 0.500 0.500
0.153 0.653 0.500
0.347 0.153 0.500
0.653 0.847 0.500
0.847 0.347 0.500

LiMgFeHg2 GGA-PBE relaxed; volume = 20.617 A^3/atom; E_form = 14.5 kcal/mol of atoms; DFT total energy = -9.422 eV/cell; total magnetic moment = 3.16 μB per formula unit; DOS(E_F) = 2.73 states/eV/f.u.
1.0
4.690 0.000 0.000
0.000 4.690 0.000
0.000 0.000 4.687
Li Mg Fe Hg
1 1 1 2
direct
0.000 0.000 0.000
0.000 0.000 0.500
0.500 0.500 0.500
0.000 0.500 0.000
0.500 0.000 0.000

LiFe2HgN GGA-PBE relaxed; volume = 12.267 A^3/atom; ΔE_f (raw) = -0.12 eV/atom; DFT total energy = -28.047 eV/cell; total magnetic moment = 4.27 μB per formula unit; DOS(E_F) = 3.90 states/eV/f.u.
1.0
3.800 0.000 0.000
0.000 3.800 0.000
0.000 0.000 4.248
Li Fe Hg N
1 2 1 1
direct
0.000 0.000 0.000
0.000 0.500 0.500
0.500 0.000 0.500
0.500 0.500 0.000
0.000 0.000 0.500

Li2FeHgN GGA-PBE relaxed; volume = 12.830 A^3/atom; ΔE_f (raw) = -0.25 eV/atom; DFT total energy = -22.177 eV/cell; total magnetic moment = 1.77 μB per formula unit; DOS(E_F) = 3.73 states/eV/f.u.
1.0
4.223 0.000 0.000
0.000 4.223 0.000
0.000 0.000 3.596
Li Fe Hg N
2 1 1 1
direct
0.000 0.500 0.000
0.500 0.000 0.000
0.000 0.000 0.500
0.500 0.500 0.500
0.000 0.000 0.000

Li5FeHgN2 GGA-PBE relaxed; volume = 14.266 A^3/atom; ΔE_f (raw) = -0.28 eV/atom; DFT total energy = -37.517 eV/cell; total magnetic moment = 3.04 μB per formula unit; DOS(E_F) = 1.61 states/eV/f.u.
1.0
4.090 0.000 0.000
0.000 4.090 0.000
0.000 0.000 7.676
Li Fe Hg N
5 1 1 2
direct
0.000 0.000 0.000
0.000 0.500 0.277
0.000 0.500 0.723
0.500 0.000 0.277
0.500 0.000 0.723
0.000 0.000 0.500
0.500 0.500 0.000
0.000 0.000 0.262
0.000 0.000 0.738

Repeat the fourth record exactly.
LiFe2HgN GGA-PBE relaxed; volume = 12.267 A^3/atom; ΔE_f (raw) = -0.12 eV/atom; DFT total energy = -28.047 eV/cell; total magnetic moment = 4.27 μB per formula unit; DOS(E_F) = 3.90 states/eV/f.u.
1.0
3.800 0.000 0.000
0.000 3.800 0.000
0.000 0.000 4.248
Li Fe Hg N
1 2 1 1
direct
0.000 0.000 0.000
0.000 0.500 0.500
0.500 0.000 0.500
0.500 0.500 0.000
0.000 0.000 0.500